Here is a geometry-optimized BeCrFe2C structure from Alexandria. Energies are from PBE.

a b c (Å): 3.6737 3.8563 3.6737
angles (deg): 90.00 90.00 90.00
Closest atoms and distances in Å follow each position.
Atoms (fractional coordinates):
1 Fe 0.0000 0.0000 0.5000  2 C 1.84
2 Be 0.5000 0.5000 0.5000  4 Cr 2.60, 8 Fe 2.66
3 C 0.0000 0.0000 0.0000  4 Fe 1.84, 2 Cr 1.93
4 Cr 0.0000 0.5000 0.0000  2 C 1.93
5 Fe 0.5000 0.0000 0.0000  2 C 1.84

Values from the calculation:
Crystal system: tetragonal
Volume in A^3/atom: 10.4
Total energy in eV for the cell shown: -38.86
N(E_F) in states/eV per cell: 4.80
Symmetry: P4/mmm (123)
Formation enthalpy at 0 K in eV/atom: 0.128
Total magnetization in Bohr magnetons per cell: 3.63